Entry from Alexandria: an optimized crystal structure of Sc3HN (PBE).

Computed properties:
Space group: C2/c, No. 15
M_tot, Bohr magnetons per cell: 0.000
ρ, kg/m³: 3382
Raw total energy, eV/f.u.: -35.18

Unit cell a=5.670 b=7.272 c=7.272 alpha=83.85 beta=83.26 gamma=83.26
Sites, in units of the cell vectors:
Sc1 0.618 0.799 0.966
Sc2 0.882 0.034 0.201
Sc3 0.382 0.201 0.034
Sc4 0.118 0.966 0.799
Sc5 0.883 0.366 0.864
Sc6 0.617 0.136 0.634
Sc7 0.117 0.634 0.136
Sc8 0.383 0.864 0.366
Sc9 0.359 0.539 0.711
Sc10 0.141 0.289 0.461
Sc11 0.641 0.461 0.289
Sc12 0.859 0.711 0.539
H1 0.677 0.602 0.777
H2 0.823 0.223 0.398
H3 0.323 0.398 0.223
H4 0.177 0.777 0.602
N1 0.250 0.916 0.084
N2 0.750 0.084 0.916
N3 0.250 0.251 0.749
N4 0.750 0.749 0.251

Entry from Alexandria: an optimized crystal structure of AlP2Au (PBE).

Computed properties:
ΔE_f, eV per formula unit: 1.239
Space group: Pmmm, No. 47
M_tot, Bohr magnetons per cell: 0.000
ρ, kg/m³: 6844

Unit cell a=3.575 b=5.349 c=3.628 alpha=90.00 beta=90.00 gamma=90.00
Sites, in units of the cell vectors:
P1 0.000 0.000 0.000
P2 0.500 0.500 0.000
Au1 0.000 0.500 0.500
Al1 0.500 0.000 0.500

Entry from Alexandria: an optimized crystal structure of TaRe2Cl2 (PBE).

Computed properties:
Space group: I4/mmm, No. 139
M_tot, Bohr magnetons per cell: 0.001
ρ, kg/m³: 12394
Raw formation energy, eV/atom: 1.471

Unit cell a=4.185 b=4.185 c=5.618 alpha=68.13 beta=68.13 gamma=90.00
Sites, in units of the cell vectors:
Re1 0.750 0.250 0.500
Re2 0.250 0.750 0.500
Cl1 0.368 0.368 0.263
Cl2 0.632 0.632 0.737
Ta1 0.000 0.000 0.000

Entry from Alexandria: an optimized crystal structure of La2MnRuN (PBE).

Computed properties:
Space group: P4/mmm, No. 123
M_tot, Bohr magnetons per cell: 2.782
ρ, kg/m³: 7417
Raw formation energy, eV/atom: -0.416

Unit cell a=5.220 b=5.220 c=3.680 alpha=90.00 beta=90.00 gamma=90.00
Last column: magnetic moment on the atom in μB.
Sites, in units of the cell vectors:
Ru1 0.500 0.500 0.500  0.48
N1 0.000 0.000 0.000  -0.05
Mn1 0.000 0.000 0.500  2.53
La1 0.000 0.500 0.000  -0.07
La2 0.500 0.000 0.000  -0.07

Entry from Alexandria: an optimized crystal structure of CaBiRhPb2 (PBE).

Computed properties:
ΔE_f, eV per formula unit: -0.372
Space group: P4/mmm, No. 123
M_tot, Bohr magnetons per cell: 0.000
ρ, kg/m³: 8200

Unit cell a=5.307 b=5.510 c=5.307 alpha=90.00 beta=90.00 gamma=90.00
Sites, in units of the cell vectors:
Pb1 0.000 0.000 0.500
Pb2 0.500 0.000 0.000
Ca1 0.500 0.500 0.500
Rh1 0.000 0.000 0.000
Bi1 0.000 0.500 0.000

Entry from Alexandria: an optimized crystal structure of Nd7ErIn4 (PBE).

Computed properties:
ΔE_f, eV per formula unit: -1.637
Space group: C2/m, No. 12
M_tot, Bohr magnetons per cell: 0.000
ρ, kg/m³: 7056

Unit cell a=5.843 b=9.513 c=7.935 alpha=75.10 beta=68.40 gamma=72.11
Sites, in units of the cell vectors:
Nd1 0.795 0.882 0.528
Nd2 0.205 0.118 0.472
Nd3 0.063 0.608 0.266
Nd4 0.937 0.392 0.734
Nd5 0.277 0.663 0.782
Nd6 0.500 0.000 0.000
Nd7 0.723 0.337 0.218
Er1 0.000 0.000 0.000
In1 0.557 0.249 0.638
In2 0.443 0.751 0.362
In3 0.681 0.666 0.972
In4 0.319 0.334 0.028

Entry from Alexandria: an optimized crystal structure of CsCo2AsP (PBE).

Computed properties:
ΔE_f, eV per formula unit: -2.223
Space group: P2_1/m, No. 11
M_tot, Bohr magnetons per cell: 0.000
ρ, kg/m³: 5305

Unit cell a=3.769 b=8.114 c=7.491 alpha=102.91 beta=90.00 gamma=90.00
Sites, in units of the cell vectors:
Cs1 0.250 0.053 0.750
Cs2 0.750 0.947 0.250
Co1 0.750 0.504 0.379
Co2 0.250 0.496 0.621
Co3 0.750 0.498 0.871
Co4 0.250 0.502 0.129
As1 0.250 0.669 0.914
As2 0.750 0.331 0.086
P1 0.250 0.649 0.412
P2 0.750 0.351 0.588

Entry from Alexandria: an optimized crystal structure of CaTlSiTeSeF (PBE).

Computed properties:
Space group: Cm, No. 8
M_tot, Bohr magnetons per cell: 0.000
ρ, kg/m³: 5139
Raw formation energy, eV/atom: -1.229

Unit cell a=7.509 b=3.825 c=11.454 alpha=90.00 beta=101.86 gamma=90.00
Sites, in units of the cell vectors:
F1 0.218 0.000 0.372
F2 0.218 0.500 0.872
Ca1 0.071 0.000 0.816
Ca2 0.071 0.500 0.316
Si1 0.732 0.000 0.002
Si2 0.732 0.500 0.502
Tl1 0.430 0.000 0.595
Tl2 0.430 0.500 0.095
Te1 0.704 0.000 0.336
Te2 0.704 0.500 0.836
Se1 0.039 0.000 0.093
Se2 0.039 0.500 0.593

Entry from Alexandria: an optimized crystal structure of TlNi2Br (PBE).

Computed properties:
Space group: C2/m, No. 12
M_tot, Bohr magnetons per cell: 0.000
ρ, kg/m³: 8850
Raw formation energy, eV/atom: 0.537

Unit cell a=5.185 b=5.185 c=3.437 alpha=71.23 beta=71.23 gamma=105.56
Sites, in units of the cell vectors:
Br1 0.000 0.500 0.500
Ni1 0.000 0.000 0.000
Ni2 0.500 0.500 0.000
Tl1 0.500 0.000 0.500

Entry from Alexandria: an optimized crystal structure of DyNi4Sb (PBE).

Computed properties:
Space group: F-43m, No. 216
M_tot, Bohr magnetons per cell: 0.011
ρ, kg/m³: 9749
Raw formation energy, eV/atom: -0.344

Unit cell a=5.000 b=5.000 c=5.000 alpha=60.00 beta=60.00 gamma=60.00
Sites, in units of the cell vectors:
Sb1 0.250 0.250 0.250
Ni1 0.625 0.625 0.124
Ni2 0.625 0.124 0.625
Ni3 0.625 0.625 0.625
Ni4 0.124 0.625 0.625
Dy1 0.000 0.000 0.000

Entry from Alexandria: an optimized crystal structure of RbMn2Cl5 (PBE).

Computed properties:
Space group: Cmcm, No. 63
M_tot, Bohr magnetons per cell: 20.000
ρ, kg/m³: 2976
Raw formation energy, eV/atom: -1.278

Unit cell a=5.392 b=6.560 c=12.893 alpha=90.00 beta=90.00 gamma=114.27
Last column: magnetic moment on the atom in μB.
Sites, in units of the cell vectors:
Rb1 0.489 0.977 0.750  0.00
Rb2 0.511 0.023 0.250  0.00
Mn1 0.853 0.707 0.443  4.45
Mn2 0.853 0.707 0.057  4.45
Mn3 0.147 0.293 0.557  4.45
Mn4 0.147 0.293 0.943  4.45
Cl1 0.950 0.901 0.884  0.08
Cl2 0.950 0.901 0.616  0.08
Cl3 0.332 0.665 0.466  0.07
Cl4 0.332 0.665 0.034  0.07
Cl5 0.794 0.588 0.250  0.06
Cl6 0.206 0.412 0.750  0.06
Cl7 0.668 0.335 0.534  0.07
Cl8 0.668 0.335 0.966  0.07
Cl9 0.050 0.099 0.116  0.08
Cl10 0.050 0.099 0.384  0.08

Entry from Alexandria: an optimized crystal structure of Be2PCl (PBE).

Computed properties:
Space group: Imm2, No. 44
M_tot, Bohr magnetons per cell: 0.172
ρ, kg/m³: 1404
Raw formation energy, eV/atom: 0.286

Unit cell a=6.196 b=6.196 c=6.196 alpha=154.36 beta=98.03 gamma=87.63
Last column: magnetic moment on the atom in μB.
Sites, in units of the cell vectors:
P1 0.160 0.660 0.500  0.07
Be1 0.979 0.979 0.000  0.00
Be2 0.758 0.258 0.500  0.00
Cl1 0.603 0.603 0.000  0.00

What is the formula in the sixth record?
Nd7ErIn4

The highest M_tot belongs to which entry?
RbMn2Cl5

Among the records above, which one has the lowest ρ?
Be2PCl

Copy entry 7 word for word.
Entry from Alexandria: an optimized crystal structure of CsCo2AsP (PBE).

Computed properties:
ΔE_f, eV per formula unit: -2.223
Space group: P2_1/m, No. 11
M_tot, Bohr magnetons per cell: 0.000
ρ, kg/m³: 5305

Unit cell a=3.769 b=8.114 c=7.491 alpha=102.91 beta=90.00 gamma=90.00
Sites, in units of the cell vectors:
Cs1 0.250 0.053 0.750
Cs2 0.750 0.947 0.250
Co1 0.750 0.504 0.379
Co2 0.250 0.496 0.621
Co3 0.750 0.498 0.871
Co4 0.250 0.502 0.129
As1 0.250 0.669 0.914
As2 0.750 0.331 0.086
P1 0.250 0.649 0.412
P2 0.750 0.351 0.588